Record 1
Below is crystalline PaCuPbO4 at its relaxed geometry, with properties calculated at the GGA-PBE level.

It has space group Imma (No. 74), with a = 6.355 Å, b = 7.130 Å, c = 10.424 Å, α = 90.00°, β = 90.00° and γ = 90.00°. The inequivalent atoms are Pa at (0.000, 0.000, 0.000), Cu at (0.250, 0.250, 0.250), Pb at (0.000, 0.250, 0.675), O at (0.000, 0.053, 0.200) and O at (0.214, 0.250, 0.971).

The value obtained for the total magnetization is 0.06 μB/f.u. The energy relative to the elements, uncorrected is -2.01 eV/atom.

=====

Record 2
Below is crystalline ThScSb at its relaxed geometry, with properties calculated at the GGA-PBE level.

It has space group P-62m (No. 189), with a = 8.1249 Å, b = 8.1249 Å, c = 4.2736 Å, α = 90.00°, β = 90.00° and γ = 120.00°. The inequivalent atoms are Th at (0.0000, 0.4088, 0.0000), Sc at (0.0000, 0.7515, 0.5000), Sb at (0.0000, 0.0000, 0.0000) and Sb at (0.3333, 0.6667, 0.5000).

The value obtained for the total magnetization is 0.00 μB/f.u. The energy relative to the elements, uncorrected is -0.72 eV/atom.

=====

Record 3
Below is crystalline NiAuBr2 at its relaxed geometry, with properties calculated at the GGA-PBE level.

It has space group Cmm2 (No. 35), with a = 3.803 Å, b = 7.349 Å, c = 8.155 Å, α = 90.00°, β = 90.00° and γ = 90.00°. The inequivalent atoms are Ni at (0.000, 0.000, 0.000), Au at (0.000, 0.500, 0.793), Br at (0.000, 0.000, 0.582) and Br at (0.000, 0.500, 0.152).

The value obtained for the total magnetization is 0.41 μB/f.u. The energy relative to the elements, uncorrected is 0.08 eV/atom. The energy above the most stable polymorph in this dataset comes out at 85 meV/atom.